Entry 1:
# OsRu2S (PBE, optimized geometry)
# E_form (uncorrected): 578.6 meV/atom
# VASP energy: -7.90 eV per atom
data_OsRu2S
_space_group_name_H-M_alt 'I -4 2 d'
_space_group_IT_number 122
_space_group_name_Hall 'I -4 2bw'
_cell_length_a 5.347
_cell_length_b 5.347
_cell_length_c 10.797
_cell_angle_alpha 90.00
_cell_angle_beta 90.00
_cell_angle_gamma 90.00
loop_
_atom_site_label
_atom_site_type_symbol
_atom_site_fract_x
_atom_site_fract_y
_atom_site_fract_z
Os1 Os 0.000 0.000 0.000
Ru1 Ru 0.228 0.250 0.625
S1 S 0.000 0.000 0.500

---

Entry 2:
# TiOs2W2 (PBE, optimized geometry)
# E_form: 0.136 eV per atom
# VASP energy: -11.12 eV per atom
data_TiOs2W2
_space_group_name_H-M_alt 'P 4/m b m'
_space_group_IT_number 127
_space_group_name_Hall '-P 4 2ab'
_cell_length_a 7.506
_cell_length_b 7.506
_cell_length_c 2.908
_cell_angle_alpha 90.00
_cell_angle_beta 90.00
_cell_angle_gamma 90.00
loop_
_atom_site_label
_atom_site_type_symbol
_atom_site_fract_x
_atom_site_fract_y
_atom_site_fract_z
Ti1 Ti 0.000 0.000 0.000
Os1 Os 0.135 0.365 0.000
W1 W 0.163 0.663 0.500

---

Entry 3:
# K2LaMo (PBE, optimized geometry)
# E_form: 0.836 eV per atom
# VASP energy: -3.65 eV per atom
data_K2LaMo
_space_group_name_H-M_alt 'C 1 m 1'
_space_group_IT_number 8
_cell_length_a 9.051
_cell_length_b 3.459
_cell_length_c 10.539
_cell_angle_alpha 90.00
_cell_angle_beta 94.39
_cell_angle_gamma 90.00
loop_
_space_group_symop_operation_xyz
'x,y,z'
'x,-y,z'
'x+1/2,y+1/2,z'
'x+1/2,-y+1/2,z'
loop_
_atom_site_label
_atom_site_type_symbol
_atom_site_fract_x
_atom_site_fract_y
_atom_site_fract_z
K1 K 0.000 0.000 0.000
K2 K 0.219 0.000 0.619
La1 La 0.448 0.000 0.330
Mo1 Mo 0.221 0.500 0.263

---

Entry 4:
# Li2Zn2Bi (PBE, optimized geometry)
# E_form: -0.147 eV per atom
# VASP energy: -2.20 eV per atom
data_Li2Zn2Bi
_space_group_name_H-M_alt 'P 4/m b m'
_space_group_IT_number 127
_space_group_name_Hall '-P 4 2ab'
_cell_length_a 7.451
_cell_length_b 7.451
_cell_length_c 3.550
_cell_angle_alpha 90.00
_cell_angle_beta 90.00
_cell_angle_gamma 90.00
loop_
_atom_site_label
_atom_site_type_symbol
_atom_site_fract_x
_atom_site_fract_y
_atom_site_fract_z
Li1 Li 0.171 0.329 0.000
Zn1 Zn 0.119 0.619 0.500
Bi1 Bi 0.000 0.000 0.500

---

Entry 5:
# PmNd2Er (PBE, optimized geometry)
# E_form: 0.107 eV per atom
# VASP energy: -4.61 eV per atom
data_PmNd2Er
_space_group_name_H-M_alt 'P 4/m m m'
_space_group_IT_number 123
_space_group_name_Hall '-P 4 2'
_cell_length_a 4.239
_cell_length_b 4.239
_cell_length_c 7.556
_cell_angle_alpha 90.00
_cell_angle_beta 90.00
_cell_angle_gamma 90.00
loop_
_atom_site_label
_atom_site_type_symbol
_atom_site_fract_x
_atom_site_fract_y
_atom_site_fract_z
Pm1 Pm 0.000 0.000 0.000
Nd1 Nd 0.500 0.500 0.259
Er1 Er 0.000 0.000 0.500

---

Entry 6:
# CaTl3Pb (PBE, optimized geometry)
# E_form: 0.402 eV per atom
# VASP energy: -2.16 eV per atom
data_CaTl3Pb
_space_group_name_H-M_alt 'P m -3 m'
_space_group_IT_number 221
_space_group_name_Hall '-P 4 2 3'
_cell_length_a 5.849
_cell_length_b 5.849
_cell_length_c 5.849
_cell_angle_alpha 90.00
_cell_angle_beta 90.00
_cell_angle_gamma 90.00
loop_
_atom_site_label
_atom_site_type_symbol
_atom_site_fract_x
_atom_site_fract_y
_atom_site_fract_z
Ca1 Ca 0.000 0.000 0.000
Tl1 Tl 0.000 0.000 0.500
Pb1 Pb 0.500 0.500 0.500

---

Entry 7:
# CaMoSCl2 (PBE, optimized geometry)
# E_form (uncorrected): -217.9 meV/atom
# VASP energy: -4.35 eV per atom
data_CaMoSCl2
_space_group_name_H-M_alt 'P 4/m m m'
_space_group_IT_number 123
_space_group_name_Hall '-P 4 2'
_cell_length_a 5.067
_cell_length_b 5.067
_cell_length_c 5.554
_cell_angle_alpha 90.00
_cell_angle_beta 90.00
_cell_angle_gamma 90.00
loop_
_atom_site_label
_atom_site_type_symbol
_atom_site_fract_x
_atom_site_fract_y
_atom_site_fract_z
Ca1 Ca 0.000 0.000 0.000
Mo1 Mo 0.500 0.500 0.500
S1 S 0.000 0.000 0.500
Cl1 Cl 0.000 0.500 0.000

---

Entry 8:
# Tm4GaCu3 (PBE, optimized geometry)
# E_form: -0.345 eV per atom
# VASP energy: -4.50 eV per atom
data_Tm4GaCu3
_space_group_name_H-M_alt 'P m m 2'
_space_group_IT_number 25
_cell_length_a 3.598
_cell_length_b 4.437
_cell_length_c 10.605
_cell_angle_alpha 90.00
_cell_angle_beta 90.00
_cell_angle_gamma 90.00
loop_
_space_group_symop_operation_xyz
'x,y,z'
'-x,-y,z'
'-x,y,z'
'x,-y,z'
loop_
_atom_site_label
_atom_site_type_symbol
_atom_site_fract_x
_atom_site_fract_y
_atom_site_fract_z
Tm1 Tm 0.000 0.000 0.000
Tm2 Tm 0.000 0.500 0.274
Tm3 Tm 0.500 0.000 0.482
Tm4 Tm 0.500 0.500 0.786
Ga1 Ga 0.000 0.000 0.710
Cu1 Cu 0.000 0.500 0.562
Cu2 Cu 0.500 0.000 0.208
Cu3 Cu 0.500 0.500 0.065